No. 1
Cd2InHg2, optimized geometry, DFT GGA-PBE; raw total energy = -1.01 eV/atom; symmetry = C2/c (15); ΔH_f (0 K) = 2 kJ/mol of atoms; size of the total moment = 0.0 μB/cell
1.0
-3.199 -6.455 -0.644
3.052 2.964 -4.249
5.359 -3.132 4.766
In Cd Hg
2 4 4
direct
0.671 0.000 0.750 In
0.329 0.000 0.250 In
0.217 0.247 0.952 Cd
0.783 0.753 0.048 Cd
0.030 0.247 0.452 Cd
0.970 0.753 0.548 Cd
0.491 0.660 0.340 Hg
0.831 0.340 0.160 Hg
0.509 0.340 0.660 Hg
0.169 0.660 0.840 Hg


No. 2
IO2F2, optimized geometry, DFT GGA-PBE; raw total energy = -2.20 eV/atom; E_form (uncorrected) = 0.84 eV per atom; symmetry = P4/mmm (123); size of the total moment = 0.9 μB/cell
1.0
-0.959 -1.670 -3.217
1.787 -3.113 1.084
-3.656 -1.456 1.845
O F I
2 2 1
direct
0.500 0.000 0.000 O
0.000 0.500 0.000 O
0.000 0.000 0.500 F
0.000 0.000 0.000 F
0.500 0.500 0.500 I